(1)
NaSmZn after structural relaxation, computed with GGA-PBE.

Output
raw total energy = -2.49 eV per atom
energy relative to the elements = -56 meV/atom
D(E_F) = 2.7 states/eV/f.u.

a b c (Å): 3.6460 3.6460 12.8646
angles (deg): 90.00 90.00 90.00
Closest atoms and distances in Å follow each position.
Space group P4/nmm (No. 129, origin choice 2)
Unique sites:
Na: 0.2500 0.2500 0.1134 [2 per cell]  4 Zn 3.25
Sm: 0.2500 0.2500 0.3980 [2 per cell]  4 Zn 3.08
Zn: 0.2500 0.2500 0.7327 [2 per cell]  4 Sm 3.08, 4 Na 3.25

***

(2)
Rb2HfRu3O12 after structural relaxation, computed with GGA-PBE.

Output
raw total energy = -6.91 eV per atom
ΔE_f (raw) = -1.40 eV per atom
D(E_F) = 9.4 states/eV/f.u.

a b c (Å): 7.2614 7.2614 18.3487
angles (deg): 90.00 90.00 120.00
Closest atoms and distances in Å follow each position.
Space group R-3m (No. 166, hexagonal axes)
Unique sites:
Rb: 0.0000 0.0000 0.1206 [6 per cell]  9 O 3.23-3.59
Hf: 0.0000 0.0000 0.5000 [3 per cell]  6 O 2.07
Ru: 0.0000 0.5000 0.0000 [9 per cell]  6 O 1.91-1.92
O: 0.0650 0.5325 0.1017 [18 per cell]  1 Ru 1.91, 1 Hf 2.07
O: 0.0787 0.5393 0.3485 [18 per cell]  2 Ru 1.92

***

(3)
La2MgSc after structural relaxation, computed with GGA-PBE.

Output
raw total energy = -4.35 eV per atom
energy relative to the elements = 93 meV/atom
D(E_F) = 7.2 states/eV/f.u.

a b c (Å): 3.6991 5.6080 5.7716
angles (deg): 90.00 90.00 90.00
Closest atoms and distances in Å follow each position.
Space group Pmmm (No. 47)
Unique sites:
La: 0.0000 0.0000 0.0000 [1 per cell]  6 La 3.36-3.70, 4 Sc 3.43
La: 0.5000 0.5000 0.0000 [1 per cell]  6 La 3.36-3.70, 4 Mg 3.43
Mg: 0.0000 0.5000 0.5000 [1 per cell]  4 Sc 3.36, 4 La 3.43, 2 Mg 3.70
Sc: 0.5000 0.0000 0.5000 [1 per cell]  4 Mg 3.36, 4 La 3.43, 2 Sc 3.70

***

(4)
TaAl2O after structural relaxation, computed with GGA-PBE.

Output
raw total energy = -6.68 eV per atom
ΔE_f (raw) = -0.60 eV per atom
D(E_F) = 1.4 states/eV/f.u.

a b c (Å): 5.7509 5.7509 7.4399
angles (deg): 90.00 90.00 90.00
Closest atoms and distances in Å follow each position.
Space group I-42d (No. 122)
Unique sites:
Ta: 0.0000 0.0000 0.0000 [4 per cell]  4 Al 2.74
Al: 0.1278 0.7500 0.6250 [8 per cell]  2 O 1.86
O: 0.0000 0.0000 0.5000 [4 per cell]  4 Al 1.86

***

(5)
CaFeGe2Pd after structural relaxation, computed with GGA-PBE.

Output
raw total energy = -4.54 eV per atom
energy above the most stable polymorph in this dataset = 910.2 meV per atom
energy relative to the elements = 436 meV/atom
D(E_F) = 6.2 states/eV/f.u.

a b c (Å): 4.7834 4.7834 5.3013
angles (deg): 90.00 90.00 90.00
Closest atoms and distances in Å follow each position.
Space group P4/mmm (No. 123)
Unique sites:
Ca: 0.0000 0.0000 0.0000 [1 per cell]  2 Pd 2.65
Fe: 0.5000 0.5000 0.0000 [1 per cell]  4 Ca 3.38, 8 Ge 3.57
Ge: 0.0000 0.5000 0.5000 [2 per cell]  2 Pd 2.39
Pd: 0.0000 0.0000 0.5000 [1 per cell]  4 Ge 2.39, 2 Ca 2.65

***

(6)
SmHo5Ag6 after structural relaxation, computed with GGA-PBE.

Output
raw total energy = -4.05 eV per atom
energy relative to the elements = -320 meV/atom
D(E_F) = 5.9 states/eV/f.u.

a b c (Å): 5.1629 15.5002 7.2121
angles (deg): 90.00 90.00 90.00
Closest atoms and distances in Å follow each position.
Space group Cmmm (No. 65)
Unique sites:
Sm: 0.0000 0.0000 0.0000 [2 per cell]  8 Ag 3.18-3.20
Ho: 0.0000 0.0000 0.5000 [2 per cell]  8 Ag 3.12-3.17
Ho: 0.0000 0.3325 0.0000 [4 per cell]  8 Ag 3.12-3.19
Ho: 0.0000 0.3341 0.5000 [4 per cell]  8 Ag 3.11-3.14
Ag: 0.0000 0.1691 0.2533 [8 per cell]  7 Ho 3.12-3.17, 1 Sm 3.20
Ag: 0.0000 0.5000 0.2563 [4 per cell]  6 Ho 3.11-3.19, 2 Sm 3.18

***

(7)
NaHo2Pd after structural relaxation, computed with GGA-PBE.

Output
raw total energy = -4.10 eV per atom
energy above the most stable polymorph in this dataset = 128.8 meV per atom
energy relative to the elements = -182 meV/atom
D(E_F) = 2.3 states/eV/f.u.

a b c (Å): 4.0252 4.0252 31.1165
angles (deg): 90.00 90.00 120.00
Closest atoms and distances in Å follow each position.
Space group R-3m (No. 166, hexagonal axes)
Unique sites:
Na: 0.0000 0.0000 0.0000 [3 per cell]  2 Ho 3.69, 6 Na 4.03
Ho: 0.0000 0.0000 0.1186 [6 per cell]  3 Pd 2.76
Pd: 0.0000 0.0000 0.5000 [3 per cell]  6 Ho 2.76

***

(8)
Na3Cd3In8 after structural relaxation, computed with GGA-PBE.

Output
raw total energy = -2.12 eV per atom
energy relative to the elements = -79 meV/atom
D(E_F) = 4.9 states/eV/f.u.

a b c (Å): 5.0666 10.8250 13.6514
angles (deg): 90.00 90.00 90.00
Closest atoms and distances in Å follow each position.
Space group Immm (No. 71)
Unique sites:
Na: 0.0000 0.0000 0.0000 [2 per cell]  12 In 3.46-3.70, 2 Na 3.82
Na: 0.0000 0.0000 0.2799 [4 per cell]  2 Cd 3.39, 10 In 3.53-3.59
Cd: 0.0000 0.1453 0.5000 [4 per cell]  3 Cd 2.98-3.15, 6 In 3.01-3.32
Cd: 0.0000 0.5000 0.0000 [2 per cell]  4 Cd 2.98, 4 In 3.06
In: 0.0000 0.2871 0.1475 [8 per cell]  3 In 3.02-3.08, 3 Cd 3.06-3.32
In: 0.0000 0.3648 0.3647 [8 per cell]  4 In 2.93-3.08, 1 Cd 3.01